Material: Y2S
Method: DFT, PBE-GGA
State: relaxed

Properties
Raw formation energy (meV per atom): -1307
Spin magnetization (μB/atom): 0.00
Total energy (eV/atom): -6.99
SG: P-3m1

Lattice parameters (Å, degrees): 3.8049 3.8049 18.7347 90.00 90.00 120.00
Closest atoms and distances in Å follow each position.
Element x y z (fractional)
S: 0.3333 0.6667 0.6671  6 Y 2.73-2.74
S: 0.0000 0.0000 0.0000  6 Y 2.73
S: 0.6667 0.3333 0.3329  6 Y 2.73-2.74
Y: 0.3333 0.6667 0.0862  3 S 2.73
Y: 0.6667 0.3333 0.5801  3 S 2.74
Y: 0.0000 0.0000 0.2465  3 S 2.73
Y: 0.6667 0.3333 0.9138  3 S 2.73
Y: 0.0000 0.0000 0.7535  3 S 2.73
Y: 0.3333 0.6667 0.4199  3 S 2.74